A plane-wave DFT calculation with PBE was carried out for crystalline Tm8Te4P3C at its relaxed geometry.

It has space group R-3m (No. 166, hexagonal axes), with a = 8.0079 Å, b = 8.0079 Å, c = 20.7483 Å, α = 90.00°, β = 90.00° and γ = 120.00°. The distinct sites, in fractional coordinates, are Tm at (0.0000, 0.0000, 0.2365), Tm at (0.0227, 0.5113, 0.2332), Te at (0.0000, 0.0000, 0.0000), Te at (0.0000, 0.5000, 0.0000), P at (0.0000, 0.5000, 0.5000) and C at (0.0000, 0.0000, 0.5000).

Its density of states at the Fermi level is 0.325 states/eV/atom. For the formation energy (no corrections), the calculation gives -1.344 eV/atom.

***

A plane-wave DFT calculation with PBE was carried out for crystalline Y8Te3P3C at its relaxed geometry.

It has space group R-3m (No. 166, hexagonal axes), with a = 8.0715 Å, b = 8.0715 Å, c = 21.3409 Å, α = 90.00°, β = 90.00° and γ = 120.00°. The distinct sites, in fractional coordinates, are Y at (0.0000, 0.0000, 0.2353), Y at (0.0287, 0.5143, 0.2316), Te at (0.0000, 0.5000, 0.0000), P at (0.0000, 0.5000, 0.5000) and C at (0.0000, 0.0000, 0.5000).

Its density of states at the Fermi level is 0.618 states/eV/atom. For the formation energy (no corrections), the calculation gives -1.265 eV/atom.

***

A plane-wave DFT calculation with PBE was carried out for crystalline Y8Te4P3C at its relaxed geometry.

It has space group R-3m (No. 166, hexagonal axes), with a = 8.1376 Å, b = 8.1376 Å, c = 21.0825 Å, α = 90.00°, β = 90.00° and γ = 120.00°. The distinct sites, in fractional coordinates, are Y at (0.0000, 0.0000, 0.2370), Y at (0.0214, 0.5107, 0.2338), Te at (0.0000, 0.0000, 0.0000), Te at (0.0000, 0.5000, 0.0000), P at (0.0000, 0.5000, 0.5000) and C at (0.0000, 0.0000, 0.5000).

Its density of states at the Fermi level is 0.344 states/eV/atom. For the formation energy (no corrections), the calculation gives -1.395 eV/atom.

***

A plane-wave DFT calculation with PBE was carried out for crystalline Th3P2C at its relaxed geometry.

It has space group C2/c (No. 15), with a = 12.8598 Å, b = 5.7445 Å, c = 7.9315 Å, α = 90.00°, β = 107.98° and γ = 90.00°. The distinct sites, in fractional coordinates, are Th at (0.0000, 0.0043, 0.2500), Th at (0.1487, 0.5000, 0.0744), P at (0.1720, 0.0000, 0.0859) and C at (0.0000, 0.4925, 0.2500).

The excess energy over the best structure of this formula in the dataset comes out at 0.00 eV/f.u. Its density of states at the Fermi level is 0.448 states/eV/atom. As for the calculated formation energy: -1085 meV per atom.